! SiP2ClF PBE-GGA optimized geometry; values from VASP
&SYSTEM
  ibrav = 0, nat = 5, ntyp = 4
/
ATOMIC_SPECIES
P 30.97 P.upf
Si 28.09 Si.upf
F 19.00 F.upf
Cl 35.45 Cl.upf
ATOMIC_POSITIONS crystal
P 0.000 0.500 0.000
P 0.500 0.000 0.000
Si 0.500 0.500 0.500
F 0.000 0.000 0.000
Cl 0.000 0.000 0.500
CELL_PARAMETERS angstrom
-2.047 2.737 2.234
-2.723 0.422 -3.013
-3.069 -4.091 2.201
! calculated density	2.59	g/cm3
! DOS(E_F)	2.56	states/eV/f.u.
! uncorrected formation energy	599	meV/atom
! ΔE to the lowest computed polymorph	205	meV per atom